This record from Alexandria via LeMat-Bulk describes a relaxed PuPaNiGe crystal. The functional is PBE-GGA.

abc: 4.5450 4.5450 4.9256
angles: 90.00 90.00 120.00
Atoms (fractional coordinates):
Pu 0.0000 0.0000 0.0000
Pa 0.3333 0.6667 0.4447
Ni 0.6667 0.3333 0.2318
Ge 0.6667 0.3333 0.7305

Output
- energy (eV per cell) = -34.70
- symmetry = P3m1 (156)
- DOS at the Fermi energy (states/eV/f.u.) = 10.8
- energy of formation (eV/atom) = -0.117